No. 1
Pm5Te5Ir | PBE | optimized geometry

abc: 7.7281 7.7281 8.7610
angles: 107.36 107.36 48.17
Closest atoms and distances in Å follow each position.
Sites, in units of the cell vectors:
Pm 0.0000 0.0000 0.0000  2 Ir 3.15, 4 Te 3.18-3.20
Pm 0.3501 0.3501 0.6927  1 Ir 2.83, 1 Te 3.11
Pm 0.3510 0.3510 0.1511  1 Ir 2.83, 1 Te 3.09
Pm 0.6490 0.6490 0.8489  1 Ir 2.83, 1 Te 3.09
Pm 0.6499 0.6499 0.3073  1 Ir 2.83, 1 Te 3.11
Te 0.1652 0.1652 0.8248  5 Pm 3.17-3.19
Te 0.1819 0.1819 0.3332  5 Pm 3.18-3.28
Te 0.5000 0.5000 0.5000  4 Pm 3.09-3.11
Te 0.8182 0.8182 0.6668  5 Pm 3.18-3.28
Te 0.8348 0.8348 0.1752  5 Pm 3.17-3.19
Ir 0.5000 0.5000 0.0000  6 Pm 2.83-3.15

M_tot = 0.00 μB/atom
formation energy (no corrections) = -1.27 eV per atom
SG = No. 12

No. 2
Pm2TeIr | PBE | optimized geometry

abc: 7.4016 7.4016 7.4016
angles: 90.00 90.00 90.00
Closest atoms and distances in Å follow each position.
Sites, in units of the cell vectors:
Pm 0.2500 0.2500 0.2500  4 Te 3.20, 4 Ir 3.20
Pm 0.2500 0.2500 0.7500  4 Te 3.20, 4 Ir 3.20
Pm 0.2500 0.7500 0.2500  4 Te 3.20, 4 Ir 3.20
Pm 0.2500 0.7500 0.7500  4 Te 3.20, 4 Ir 3.20
Pm 0.7500 0.2500 0.2500  4 Te 3.20, 4 Ir 3.20
Pm 0.7500 0.2500 0.7500  4 Te 3.20, 4 Ir 3.20
Pm 0.7500 0.7500 0.2500  4 Te 3.20, 4 Ir 3.20
Pm 0.7500 0.7500 0.7500  4 Te 3.20, 4 Ir 3.20
Te 0.0000 0.0000 0.0000  8 Pm 3.20
Te 0.0000 0.5000 0.5000  8 Pm 3.20
Te 0.5000 0.0000 0.5000  8 Pm 3.20
Te 0.5000 0.5000 0.0000  8 Pm 3.20
Ir 0.0000 0.0000 0.5000  8 Pm 3.20
Ir 0.0000 0.5000 0.0000  8 Pm 3.20
Ir 0.5000 0.0000 0.0000  8 Pm 3.20
Ir 0.5000 0.5000 0.5000  8 Pm 3.20

M_tot = 0.00 μB/atom
formation energy (no corrections) = -0.67 eV per atom
ΔE to the lowest computed polymorph = 341 meV/atom
SG = No. 225

No. 3
Pm3TeIr | PBE | optimized geometry

abc: 5.5165 5.5165 5.5165
angles: 90.00 90.00 90.00
Closest atoms and distances in Å follow each position.
Sites, in units of the cell vectors:
Pm 0.0000 0.0000 0.5000  2 Ir 2.76
Pm 0.0000 0.5000 0.0000  2 Ir 2.76
Pm 0.5000 0.0000 0.0000  2 Ir 2.76
Te 0.5000 0.5000 0.5000  12 Pm 3.90
Ir 0.0000 0.0000 0.0000  6 Pm 2.76

M_tot = 0.00 μB/atom
formation energy (no corrections) = -0.54 eV per atom
ΔE to the lowest computed polymorph = 377 meV/atom
SG = No. 221

No. 4
Pm3Te2Ir | PBE | optimized geometry

abc: 7.4869 7.4869 7.8549
angles: 99.31 99.31 120.00
Closest atoms and distances in Å follow each position.
Sites, in units of the cell vectors:
Pm 0.0637 0.4282 0.7792  2 Ir 2.87-2.92, 2 Te 3.16-3.17
Pm 0.2078 0.2078 0.2147  2 Ir 2.88, 2 Te 3.11-3.17
Pm 0.4282 0.0637 0.7792  2 Ir 2.87-2.92, 2 Te 3.16-3.17
Pm 0.5718 0.9363 0.2208  2 Ir 2.87-2.92, 2 Te 3.16-3.17
Pm 0.7922 0.7922 0.7853  2 Ir 2.88, 2 Te 3.11-3.17
Pm 0.9363 0.5718 0.2208  2 Ir 2.87-2.92, 2 Te 3.16-3.17
Te 0.0000 0.0000 0.5000  6 Pm 3.11-3.34
Te 0.3441 0.6559 0.5000  6 Pm 3.16-3.35
Te 0.5000 0.5000 0.0000  6 Pm 3.17
Te 0.6559 0.3441 0.5000  6 Pm 3.16-3.35
Ir 0.1681 0.8319 0.0000  6 Pm 2.87-2.92
Ir 0.8319 0.1681 0.0000  6 Pm 2.87-2.92

M_tot = 0.00 μB/atom
formation energy (no corrections) = -1.18 eV per atom
ΔE to the lowest computed polymorph = 0 meV/atom
SG = No. 12

No. 5
Pm3TeIr | PBE | optimized geometry

abc: 7.8190 4.4087 16.9255
angles: 90.00 90.00 90.00
Closest atoms and distances in Å follow each position.
Sites, in units of the cell vectors:
Pm 0.0130 0.2500 0.0908  3 Ir 2.95-2.99
Pm 0.1363 0.7500 0.4470  3 Ir 2.89-3.10
Pm 0.1769 0.2500 0.7056  1 Ir 2.85, 2 Te 3.13
Pm 0.3231 0.7500 0.2056  1 Ir 2.85, 2 Te 3.13
Pm 0.3637 0.2500 0.9470  3 Ir 2.89-3.10
Pm 0.4870 0.7500 0.5908  3 Ir 2.95-2.99
Pm 0.5130 0.2500 0.4092  3 Ir 2.95-2.99
Pm 0.6363 0.7500 0.0530  3 Ir 2.89-3.10
Pm 0.6769 0.2500 0.7944  1 Ir 2.85, 2 Te 3.13
Pm 0.8231 0.7500 0.2944  1 Ir 2.85, 2 Te 3.13
Pm 0.8637 0.2500 0.5530  3 Ir 2.89-3.10
Pm 0.9870 0.7500 0.9092  3 Ir 2.95-2.99
Te 0.1215 0.2500 0.2984  6 Pm 3.13-3.35
Te 0.3785 0.7500 0.7984  6 Pm 3.13-3.35
Te 0.6215 0.2500 0.2016  6 Pm 3.13-3.35
Te 0.8785 0.7500 0.7016  6 Pm 3.13-3.35
Ir 0.2400 0.7500 0.0414  7 Pm 2.85-3.10
Ir 0.2600 0.2500 0.5414  7 Pm 2.85-3.10
Ir 0.7400 0.7500 0.4586  7 Pm 2.85-3.10
Ir 0.7600 0.2500 0.9586  7 Pm 2.85-3.10

M_tot = 0.00 μB/atom
formation energy (no corrections) = -0.92 eV per atom
ΔE to the lowest computed polymorph = 0 meV/atom
SG = No. 62

No. 6
Pm2ThIr2 | PBE | optimized geometry

abc: 7.0250 7.0250 10.1675
angles: 90.00 90.00 147.14
Closest atoms and distances in Å follow each position.
Sites, in units of the cell vectors:
Pm 0.1026 0.8974 0.5000  4 Ir 2.89-2.90
Pm 0.3488 0.6512 0.6937  5 Ir 2.90-3.22
Pm 0.6512 0.3488 0.1937  5 Ir 2.90-3.22
Pm 0.8974 0.1026 0.0000  4 Ir 2.89-2.90
Th 0.3696 0.6304 0.3336  4 Ir 2.79-2.88
Th 0.6304 0.3696 0.8336  4 Ir 2.79-2.88
Ir 0.0004 0.9996 0.2495  2 Th 2.79, 4 Pm 2.89-2.90
Ir 0.9996 0.0004 0.7495  2 Th 2.79, 4 Pm 2.89-2.90
Ir 0.2420 0.7580 0.9753  2 Th 2.88, 5 Pm 2.90-3.22
Ir 0.7580 0.2420 0.4753  2 Th 2.88, 5 Pm 2.90-3.22

M_tot = 0.00 μB/atom
ΔE to the lowest computed polymorph = 0 meV/atom
formation enthalpy at 0 K = -0.69 eV per atom
SG = No. 36

No. 7
Pm2ThIr | PBE | optimized geometry

abc: 3.5790 3.5790 8.7045
angles: 90.00 90.00 90.00
Closest atoms and distances in Å follow each position.
Sites, in units of the cell vectors:
Pm 0.0000 0.0000 0.1911  4 Ir 3.03, 1 Pm 3.33
Pm 0.0000 0.0000 0.8089  4 Ir 3.03, 1 Pm 3.33
Th 0.5000 0.5000 0.5000  4 Th 3.58, 8 Pm 3.69
Ir 0.5000 0.5000 0.0000  8 Pm 3.03

M_tot = 0.00 μB/atom
ΔE to the lowest computed polymorph = 249 meV/atom
formation enthalpy at 0 K = -0.24 eV per atom
SG = No. 123

No. 8
Pm8ThIr6 | PBE | optimized geometry

abc: 7.9378 7.9378 7.9378
angles: 64.18 64.18 64.18
Closest atoms and distances in Å follow each position.
Sites, in units of the cell vectors:
Pm 0.0384 0.7268 0.3962  5 Ir 2.97-3.19
Pm 0.1617 0.1617 0.1617  6 Ir 3.01-3.09
Pm 0.2732 0.6038 0.9616  5 Ir 2.97-3.19
Pm 0.3962 0.0384 0.7268  5 Ir 2.97-3.19
Pm 0.6038 0.9616 0.2732  5 Ir 2.97-3.19
Pm 0.7268 0.3962 0.0384  5 Ir 2.97-3.19
Pm 0.8383 0.8383 0.8383  6 Ir 3.01-3.09
Pm 0.9616 0.2732 0.6038  5 Ir 2.97-3.19
Th 0.5000 0.5000 0.5000  6 Ir 2.92
Ir 0.1219 0.4419 0.7672  1 Th 2.92, 7 Pm 2.97-3.19
Ir 0.2328 0.8781 0.5581  1 Th 2.92, 7 Pm 2.97-3.19
Ir 0.4419 0.7672 0.1219  1 Th 2.92, 7 Pm 2.97-3.19
Ir 0.5581 0.2328 0.8781  1 Th 2.92, 7 Pm 2.97-3.19
Ir 0.7672 0.1219 0.4419  1 Th 2.92, 7 Pm 2.97-3.19
Ir 0.8781 0.5581 0.2328  1 Th 2.92, 7 Pm 2.97-3.19

M_tot = 0.00 μB/atom
formation enthalpy at 0 K = -0.66 eV per atom
SG = No. 148

No. 9
Pm3ThIr3 | PBE | optimized geometry

abc: 7.6649 7.6649 7.6649
angles: 68.11 68.11 68.11
Closest atoms and distances in Å follow each position.
Sites, in units of the cell vectors:
Pm 0.1189 0.8206 0.3695  5 Ir 2.92-3.07
Pm 0.1794 0.6305 0.8811  5 Ir 2.92-3.07
Pm 0.3695 0.1189 0.8206  5 Ir 2.92-3.07
Pm 0.6305 0.8811 0.1794  5 Ir 2.92-3.07
Pm 0.8206 0.3695 0.1189  5 Ir 2.92-3.07
Pm 0.8811 0.1794 0.6305  5 Ir 2.92-3.07
Th 0.3271 0.3271 0.3271  6 Ir 2.82-3.00
Th 0.6729 0.6729 0.6729  6 Ir 2.82-3.00
Ir 0.0560 0.4456 0.6881  2 Th 2.82-3.00, 5 Pm 2.92-3.07, 1 Ir 3.04
Ir 0.3119 0.9440 0.5544  2 Th 2.82-3.00, 5 Pm 2.92-3.07, 1 Ir 3.04
Ir 0.4456 0.6881 0.0560  2 Th 2.82-3.00, 5 Pm 2.92-3.07, 1 Ir 3.04
Ir 0.5544 0.3119 0.9440  2 Th 2.82-3.00, 5 Pm 2.92-3.07, 1 Ir 3.04
Ir 0.6881 0.0560 0.4456  2 Th 2.82-3.00, 5 Pm 2.92-3.07, 1 Ir 3.04
Ir 0.9440 0.5544 0.3119  2 Th 2.82-3.00, 5 Pm 2.92-3.07, 1 Ir 3.04

M_tot = 0.00 μB/atom
ΔE to the lowest computed polymorph = 0 meV/atom
formation enthalpy at 0 K = -0.70 eV per atom
SG = No. 148

No. 10
Pm2ThIr9 | PBE | optimized geometry

abc: 9.3925 9.3925 9.3925
angles: 33.17 33.17 33.17
Closest atoms and distances in Å follow each position.
Sites, in units of the cell vectors:
Pm 0.1403 0.1403 0.1403  12 Ir 3.10-3.35, 3 Pm 3.40
Pm 0.8597 0.8597 0.8597  12 Ir 3.10-3.35, 3 Pm 3.40
Th 0.0000 0.0000 0.0000  18 Ir 3.10-3.45
Ir 0.0833 0.5806 0.5806  7 Ir 2.65-2.74
Ir 0.3326 0.3326 0.3326  6 Ir 2.65-2.68
Ir 0.4194 0.4194 0.9167  7 Ir 2.65-2.74
Ir 0.4194 0.9167 0.4194  7 Ir 2.65-2.74
Ir 0.5000 0.5000 0.5000  6 Ir 2.74
Ir 0.5806 0.0833 0.5806  7 Ir 2.65-2.74
Ir 0.5806 0.5806 0.0833  7 Ir 2.65-2.74
Ir 0.6674 0.6674 0.6674  6 Ir 2.65-2.68
Ir 0.9167 0.4194 0.4194  7 Ir 2.65-2.74

M_tot = 0.00 μB/atom
formation enthalpy at 0 K = -0.59 eV per atom
SG = No. 166

No. 11
Pm2ThIr | PBE | optimized geometry

abc: 7.2125 9.9544 6.5838
angles: 90.00 90.00 90.00
Closest atoms and distances in Å follow each position.
Sites, in units of the cell vectors:
Pm 0.1773 0.0651 0.1683  2 Ir 2.99
Pm 0.1773 0.4349 0.1683  2 Ir 2.99
Pm 0.3227 0.5651 0.6683  2 Ir 2.99
Pm 0.3227 0.9349 0.6683  2 Ir 2.99
Pm 0.6773 0.0651 0.3317  2 Ir 2.99
Pm 0.6773 0.4349 0.3317  2 Ir 2.99
Pm 0.8227 0.5651 0.8317  2 Ir 2.99
Pm 0.8227 0.9349 0.8317  2 Ir 2.99
Th 0.0408 0.2500 0.6607  2 Ir 2.74-2.80
Th 0.4592 0.7500 0.1607  2 Ir 2.74-2.80
Th 0.5408 0.2500 0.8393  2 Ir 2.74-2.80
Th 0.9592 0.7500 0.3393  2 Ir 2.74-2.80
Ir 0.1285 0.7500 0.9562  2 Th 2.74-2.80, 4 Pm 2.99
Ir 0.3715 0.2500 0.4562  2 Th 2.74-2.80, 4 Pm 2.99
Ir 0.6285 0.7500 0.5438  2 Th 2.74-2.80, 4 Pm 2.99
Ir 0.8715 0.2500 0.0438  2 Th 2.74-2.80, 4 Pm 2.99

M_tot = 0.00 μB/atom
ΔE to the lowest computed polymorph = 0 meV/atom
formation enthalpy at 0 K = -0.49 eV per atom
SG = No. 62

No. 12
Pm12ThIr7 | PBE | optimized geometry

abc: 9.0896 9.0896 9.0896
angles: 107.15 107.15 107.15
Closest atoms and distances in Å follow each position.
Sites, in units of the cell vectors:
Pm 0.0429 0.1246 0.3401  3 Ir 2.82-2.85
Pm 0.1246 0.3401 0.0429  3 Ir 2.82-2.85
Pm 0.1895 0.5737 0.7171  3 Ir 2.82-2.84
Pm 0.2829 0.8105 0.4263  3 Ir 2.82-2.84
Pm 0.3401 0.0429 0.1246  3 Ir 2.82-2.85
Pm 0.4263 0.2828 0.8105  3 Ir 2.82-2.84
Pm 0.5737 0.7171 0.1895  3 Ir 2.82-2.84
Pm 0.6599 0.9571 0.8754  3 Ir 2.82-2.85
Pm 0.7171 0.1895 0.5737  3 Ir 2.82-2.84
Pm 0.8105 0.4263 0.2828  3 Ir 2.82-2.84
Pm 0.8754 0.6599 0.9571  3 Ir 2.82-2.85
Pm 0.9571 0.8754 0.6599  3 Ir 2.82-2.85
Th 0.5000 0.5000 0.5000  6 Ir 2.94
Ir 0.0000 0.0000 0.0000  6 Pm 2.82
Ir 0.1495 0.4668 0.3777  5 Pm 2.82-2.85, 1 Th 2.94
Ir 0.3777 0.1495 0.4668  5 Pm 2.82-2.85, 1 Th 2.94
Ir 0.4668 0.3777 0.1495  5 Pm 2.82-2.85, 1 Th 2.94
Ir 0.5332 0.6223 0.8505  5 Pm 2.82-2.85, 1 Th 2.94
Ir 0.6223 0.8505 0.5332  5 Pm 2.82-2.85, 1 Th 2.94
Ir 0.8505 0.5332 0.6223  5 Pm 2.82-2.85, 1 Th 2.94

M_tot = 0.00 μB/atom
formation enthalpy at 0 K = -0.54 eV per atom
SG = No. 148

Number 1: DOS(E_F) 7.97 states/eV/cell. Number 2: DOS(E_F) 13.30 states/eV/cell. Number 3: DOS(E_F) 5.80 states/eV/cell. Number 4: DOS(E_F) 7.98 states/eV/cell. Number 5: DOS(E_F) 13.94 states/eV/cell. Number 6: DOS(E_F) 5.50 states/eV/cell. Number 7: DOS(E_F) 5.08 states/eV/cell. Number 8: DOS(E_F) 9.15 states/eV/cell. Number 9: DOS(E_F) 8.90 states/eV/cell. Number 10: DOS(E_F) 12.41 states/eV/cell. Number 11: DOS(E_F) 17.77 states/eV/cell. Number 12: DOS(E_F) 15.78 states/eV/cell.